No. 1
Below is ScPdS2Cl after structural relaxation, with properties calculated at the GGA-PBE level.

## Properties
Raw formation energy = -0.396 eV per atom

Unit cell a=4.952 b=4.952 c=4.832 alpha=90.00 beta=90.00 gamma=90.00
Sites, in units of the cell vectors:
Sc 0.000 0.000 0.000
Pd 0.500 0.500 0.500
S 0.000 0.500 0.000
S 0.500 0.000 0.000
Cl 0.000 0.000 0.500


No. 2
Below is ScPdS2Cl after structural relaxation, with properties calculated at the GGA-PBE level.

## Properties
Raw formation energy = -0.334 eV per atom

Unit cell a=4.746 b=4.746 c=4.637 alpha=90.00 beta=90.00 gamma=90.00
Sites, in units of the cell vectors:
Sc 0.000 0.000 0.000
Pd 0.500 0.500 0.500
S 0.000 0.500 0.500
S 0.500 0.000 0.500
Cl 0.500 0.500 0.000


No. 3
Below is PdSeS2Cl after structural relaxation, with properties calculated at the GGA-PBE level.

## Properties
Raw formation energy = 0.540 eV per atom

Unit cell a=4.726 b=4.726 c=4.698 alpha=90.00 beta=90.00 gamma=90.00
Sites, in units of the cell vectors:
Pd 0.000 0.000 0.000
Se 0.500 0.500 0.500
S 0.000 0.500 0.000
S 0.500 0.000 0.000
Cl 0.000 0.000 0.500


Excess energy over the best structure of this formula in the dataset values (in eV/atom) by entry order: 0.000; 0.062; 0.000.